No. 1
Density functional theory data (GGA-PBE) for a relaxed structure of CoSnAsBr2.

D(E_F)	4.347	states/eV/cell
density	5889	kg/m³
SG	P4/mmm
uncorrected energy	-3.661	eV/atom
formation energy without anion corrections	15.4	kJ per mole of atoms
polymorph energy (0 for the lowest one)	0.0	meV/atom

abc: 4.986 4.986 4.677
angles: 90.00 90.00 90.00
Positions (direct):
Co: 0.000 0.000 0.000
Sn: 0.500 0.500 0.500
As: 0.000 0.000 0.500
Br: 0.000 0.500 0.000
Br: 0.500 0.000 0.000


No. 2
Density functional theory data (GGA-PBE) for a relaxed structure of SrCoAs2Br.

D(E_F)	7.860	states/eV/cell
density	3108	kg/m³
SG	P4/mmm
uncorrected energy	-2.923	eV/atom
formation energy without anion corrections	99.3	kJ per mole of atoms
polymorph energy (0 for the lowest one)	1486.4	meV/atom

abc: 5.948 5.948 5.682
angles: 90.00 90.00 90.00
Positions (direct):
Sr: 0.000 0.000 0.000
Co: 0.500 0.500 0.500
As: 0.000 0.500 0.000
As: 0.500 0.000 0.000
Br: 0.000 0.000 0.500


No. 3
Density functional theory data (GGA-PBE) for a relaxed structure of SrCo2AsBr.

D(E_F)	5.804	states/eV/cell
density	3759	kg/m³
SG	P4/mmm
uncorrected energy	-2.897	eV/atom
formation energy without anion corrections	149.2	kJ per mole of atoms

abc: 5.394 5.394 5.470
angles: 90.00 90.00 90.00
Positions (direct):
Sr: 0.000 0.000 0.000
Co: 0.000 0.500 0.000
Co: 0.500 0.000 0.000
As: 0.500 0.500 0.500
Br: 0.000 0.000 0.500


No. 4
Density functional theory data (GGA-PBE) for a relaxed structure of SrCoAs2Br.

D(E_F)	2.096	states/eV/cell
density	4817	kg/m³
SG	P4/mmm
uncorrected energy	-4.409	eV/atom
formation energy without anion corrections	-44.1	kJ per mole of atoms
polymorph energy (0 for the lowest one)	0.0	meV/atom

abc: 4.462 4.462 6.516
angles: 90.00 90.00 90.00
Positions (direct):
Sr: 0.000 0.000 0.000
Co: 0.500 0.500 0.500
As: 0.000 0.500 0.500
As: 0.500 0.000 0.500
Br: 0.500 0.500 0.000


No. 5
Density functional theory data (GGA-PBE) for a relaxed structure of CoTcAsBr2.

D(E_F)	3.118	states/eV/cell
density	5861	kg/m³
SG	P4/mmm
uncorrected energy	-4.202	eV/atom
formation energy without anion corrections	86.0	kJ per mole of atoms
polymorph energy (0 for the lowest one)	0.0	meV/atom

abc: 4.952 4.952 4.526
angles: 90.00 90.00 90.00
Positions (direct):
Co: 0.000 0.000 0.000
Tc: 0.500 0.500 0.500
As: 0.000 0.000 0.500
Br: 0.000 0.500 0.000
Br: 0.500 0.000 0.000


No. 6
Density functional theory data (GGA-PBE) for a relaxed structure of CoTeAsBr2.

D(E_F)	5.103	states/eV/cell
density	6200	kg/m³
SG	P4/mmm
uncorrected energy	-3.338	eV/atom
formation energy without anion corrections	30.0	kJ per mole of atoms
polymorph energy (0 for the lowest one)	0.0	meV/atom

abc: 4.793 4.793 4.911
angles: 90.00 90.00 90.00
Positions (direct):
Co: 0.000 0.000 0.000
Te: 0.500 0.500 0.500
As: 0.000 0.000 0.500
Br: 0.000 0.500 0.000
Br: 0.500 0.000 0.000


No. 7
Density functional theory data (GGA-PBE) for a relaxed structure of CoTeAs2Br.

D(E_F)	4.577	states/eV/cell
density	6463	kg/m³
SG	P4/mmm
uncorrected energy	-3.889	eV/atom
formation energy without anion corrections	34.3	kJ per mole of atoms
polymorph energy (0 for the lowest one)	0.0	meV/atom

abc: 4.714 4.714 4.813
angles: 90.00 90.00 90.00
Positions (direct):
Co: 0.000 0.000 0.000
Te: 0.500 0.500 0.500
As: 0.000 0.500 0.000
As: 0.500 0.000 0.000
Br: 0.000 0.000 0.500


No. 8
Density functional theory data (GGA-PBE) for a relaxed structure of TlCoAsBr2.

D(E_F)	7.280	states/eV/cell
density	4676	kg/m³
SG	P4/mmm
uncorrected energy	-2.547	eV/atom
formation energy without anion corrections	91.3	kJ per mole of atoms
polymorph energy (0 for the lowest one)	1018.4	meV/atom

abc: 5.695 5.695 5.454
angles: 90.00 90.00 90.00
Positions (direct):
Tl: 0.000 0.000 0.000
Co: 0.500 0.500 0.500
As: 0.000 0.000 0.500
Br: 0.000 0.500 0.000
Br: 0.500 0.000 0.000


No. 9
Density functional theory data (GGA-PBE) for a relaxed structure of TlCoAsBr2.

D(E_F)	1.689	states/eV/cell
density	6503	kg/m³
SG	P4/mmm
uncorrected energy	-3.566	eV/atom
formation energy without anion corrections	-7.0	kJ per mole of atoms
polymorph energy (0 for the lowest one)	0.0	meV/atom

abc: 5.377 5.377 4.399
angles: 90.00 90.00 90.00
Positions (direct):
Tl: 0.000 0.000 0.000
Co: 0.500 0.500 0.500
As: 0.500 0.500 0.000
Br: 0.000 0.500 0.500
Br: 0.500 0.000 0.500


No. 10
Density functional theory data (GGA-PBE) for a relaxed structure of V2CoAsBr.

D(E_F)	6.916	states/eV/cell
density	5332	kg/m³
SG	P4/mmm
uncorrected energy	-5.764	eV/atom
formation energy without anion corrections	54.9	kJ per mole of atoms
polymorph energy (0 for the lowest one)	0.0	meV/atom

abc: 4.831 4.831 4.212
angles: 90.00 90.00 90.00
Positions (direct):
V: 0.000 0.500 0.000
V: 0.500 0.000 0.000
Co: 0.000 0.000 0.000
As: 0.000 0.000 0.500
Br: 0.500 0.500 0.500


No. 11
Density functional theory data (GGA-PBE) for a relaxed structure of V2CoAsBr.

D(E_F)	8.623	states/eV/cell
density	4226	kg/m³
SG	P4/mmm
uncorrected energy	-5.080	eV/atom
formation energy without anion corrections	120.9	kJ per mole of atoms
polymorph energy (0 for the lowest one)	684.3	meV/atom

abc: 4.800 4.800 5.384
angles: 90.00 90.00 90.00
Positions (direct):
V: 0.000 0.500 0.000
V: 0.500 0.000 0.000
Co: 0.000 0.000 0.500
As: 0.500 0.500 0.000
Br: 0.500 0.500 0.500


No. 12
Density functional theory data (GGA-PBE) for a relaxed structure of CoAs2WBr.

D(E_F)	6.606	states/eV/cell
density	6309	kg/m³
SG	P4/mmm
uncorrected energy	-5.167	eV/atom
formation energy without anion corrections	100.3	kJ per mole of atoms
polymorph energy (0 for the lowest one)	0.0	meV/atom

abc: 4.845 4.845 5.299
angles: 90.00 90.00 90.00
Positions (direct):
Co: 0.000 0.000 0.000
As: 0.000 0.500 0.500
As: 0.500 0.000 0.500
W: 0.500 0.500 0.500
Br: 0.500 0.500 0.000


No. 13
Density functional theory data (GGA-PBE) for a relaxed structure of CoAsWBr2.

D(E_F)	10.594	states/eV/cell
density	6040	kg/m³
SG	P4/mmm
uncorrected energy	-4.506	eV/atom
formation energy without anion corrections	106.6	kJ per mole of atoms
polymorph energy (0 for the lowest one)	0.0	meV/atom

abc: 5.174 5.174 4.904
angles: 90.00 90.00 90.00
Positions (direct):
Co: 0.000 0.000 0.000
As: 0.500 0.500 0.000
W: 0.500 0.500 0.500
Br: 0.000 0.500 0.500
Br: 0.500 0.000 0.500


No. 14
Density functional theory data (GGA-PBE) for a relaxed structure of CoAsWBr2.

D(E_F)	5.662	states/eV/cell
density	7456	kg/m³
SG	P4/mmm
uncorrected energy	-4.367	eV/atom
formation energy without anion corrections	120.0	kJ per mole of atoms
polymorph energy (0 for the lowest one)	138.9	meV/atom

abc: 4.686 4.686 4.843
angles: 90.00 90.00 90.00
Positions (direct):
Co: 0.000 0.000 0.000
As: 0.000 0.000 0.500
W: 0.500 0.500 0.500
Br: 0.000 0.500 0.000
Br: 0.500 0.000 0.000


No. 15
Density functional theory data (GGA-PBE) for a relaxed structure of CoAs2WBr.

D(E_F)	4.396	states/eV/cell
density	8003	kg/m³
SG	P4/mmm
uncorrected energy	-5.046	eV/atom
formation energy without anion corrections	111.9	kJ per mole of atoms
polymorph energy (0 for the lowest one)	120.6	meV/atom

abc: 4.491 4.491 4.861
angles: 90.00 90.00 90.00
Positions (direct):
Co: 0.000 0.000 0.000
As: 0.000 0.500 0.000
As: 0.500 0.000 0.000
W: 0.500 0.500 0.500
Br: 0.000 0.000 0.500